Record 1
An optimized crystal structure of LaNd4Sm2Er. Source: Alexandria, functional PBE.

**Size of the total moment**: 0.00 μB/f.u.
**Formation energy from the elements**: 0.02 eV per atom

Lattice parameters (Å, degrees): 6.3022 3.6701 12.1419 90.00 100.23 90.00
Atoms (fractional coordinates):
La 0.0000 0.0000 0.0000
Nd 0.2503 0.0000 0.7509
Nd 0.2517 0.5000 0.2515
Nd 0.7483 0.5000 0.7485
Nd 0.7497 0.0000 0.2491
Sm 0.0000 0.5000 0.5000
Sm 0.5000 0.0000 0.5000
Er 0.5000 0.5000 0.0000


Record 2
An optimized crystal structure of LaNd4Sm2Er2. Source: Alexandria, functional PBE.

**Size of the total moment**: 0.00 μB/f.u.
**Formation energy from the elements**: 0.02 eV per atom

Lattice parameters (Å, degrees): 8.1426 8.1426 8.1296 107.44 107.44 36.86
Atoms (fractional coordinates):
La 0.0000 0.0000 0.0000
Nd 0.2224 0.2224 0.3299
Nd 0.4447 0.4447 0.6673
Nd 0.5553 0.5553 0.3327
Nd 0.7776 0.7776 0.6701
Sm 0.1116 0.1116 0.6671
Sm 0.8884 0.8884 0.3329
Er 0.3311 0.3311 0.0014
Er 0.6689 0.6689 0.9986